a:
# NpTi2Hg | the Alexandria database | PBE | optimized geometry
data_NpTi2Hg
_chemical_formula_sum 'Np1 Ti2 Hg1'
_cell_length_a 4.912
_cell_length_b 4.912
_cell_length_c 3.098
_cell_angle_alpha 90.00
_cell_angle_beta 90.00
_cell_angle_gamma 90.00
_space_group_name_H-M_alt 'P 4/m m m'
_space_group_IT_number 123
_space_group_name_Hall '-P 4 2'
loop_
_atom_site_label
_atom_site_type_symbol
_atom_site_fract_x
_atom_site_fract_y
_atom_site_fract_z
Np1 Np 0.000 0.000 0.000
Ti1 Ti 0.000 0.500 0.500
Hg1 Hg 0.500 0.500 0.000
# Theoretical density, Mg/m³: 11.84
# DOS at the Fermi energy, states/eV/cell: 7.85
# Crystal system: tetragonal

=====

b:
# NpTi2Hg | the Alexandria database | PBE | optimized geometry
data_NpTi2Hg
_chemical_formula_sum 'Np1 Ti2 Hg1'
_cell_length_a 3.340
_cell_length_b 3.340
_cell_length_c 6.719
_cell_angle_alpha 90.00
_cell_angle_beta 90.00
_cell_angle_gamma 90.00
_space_group_name_H-M_alt 'P 4/m m m'
_space_group_IT_number 123
_space_group_name_Hall '-P 4 2'
loop_
_atom_site_label
_atom_site_type_symbol
_atom_site_fract_x
_atom_site_fract_y
_atom_site_fract_z
Np1 Np 0.000 0.000 0.000
Ti1 Ti 0.500 0.500 0.231
Hg1 Hg 0.000 0.000 0.500
# Theoretical density, Mg/m³: 11.82
# DOS at the Fermi energy, states/eV/cell: 7.05
# Crystal system: tetragonal

=====

Relative energies, meV per atom: a 0; b 34.